# SiTe2PdI GGA-PBE optimized geometry
# - spin magnetization (μB/atom) = 0.000
# - DOS at the Fermi energy (states/eV per cell) = 8.08
# - raw formation energy (eV per formula unit) = 3.46
# - energy above the lowest structure with this stoichiometry (meV per atom) = 115
data_SiTe2PdI
_space_group_name_H-M_alt 'P 1'
_space_group_IT_number 1
_cell_length_a 5.266
_cell_length_b 5.266
_cell_length_c 5.415
_cell_angle_alpha 90.00
_cell_angle_beta 90.00
_cell_angle_gamma 90.00
loop_
_space_group_symop_operation_xyz
'x,y,z'
loop_
_atom_site_label
_atom_site_type_symbol
_atom_site_fract_x
_atom_site_fract_y
_atom_site_fract_z
I1 I 0.000 0.000 0.500
Te1 Te 0.500 0.000 0.000
Te2 Te 0.000 0.500 0.000
Si1 Si 0.000 0.000 0.000
Pd1 Pd 0.500 0.500 0.500

# SiTe2PdI GGA-PBE optimized geometry
# - spin magnetization (μB/atom) = 0.000
# - DOS at the Fermi energy (states/eV per cell) = 3.89
# - raw formation energy (eV per formula unit) = 2.89
# - energy above the lowest structure with this stoichiometry (meV per atom) = 0
data_SiTe2PdI
_space_group_name_H-M_alt 'P 1'
_space_group_IT_number 1
_cell_length_a 5.278
_cell_length_b 5.278
_cell_length_c 5.420
_cell_angle_alpha 90.00
_cell_angle_beta 90.00
_cell_angle_gamma 90.00
loop_
_space_group_symop_operation_xyz
'x,y,z'
loop_
_atom_site_label
_atom_site_type_symbol
_atom_site_fract_x
_atom_site_fract_y
_atom_site_fract_z
Te1 Te 0.000 0.500 0.000
Te2 Te 0.500 0.000 0.000
Si1 Si 0.500 0.500 0.500
Pd1 Pd 0.000 0.000 0.000
I1 I 0.000 0.000 0.500

# ZrSi2PdI GGA-PBE optimized geometry
# - spin magnetization (μB/atom) = 0.000
# - DOS at the Fermi energy (states/eV per cell) = 6.49
# - raw formation energy (eV per formula unit) = 3.30
data_ZrSi2PdI
_space_group_name_H-M_alt 'P 1'
_space_group_IT_number 1
_cell_length_a 4.655
_cell_length_b 5.460
_cell_length_c 4.655
_cell_angle_alpha 90.00
_cell_angle_beta 90.00
_cell_angle_gamma 90.00
loop_
_space_group_symop_operation_xyz
'x,y,z'
loop_
_atom_site_label
_atom_site_type_symbol
_atom_site_fract_x
_atom_site_fract_y
_atom_site_fract_z
Si1 Si 0.500 0.000 0.000
I1 I 0.000 0.500 0.000
Pd1 Pd 0.000 0.000 0.000
Zr1 Zr 0.500 0.500 0.500
Si2 Si 0.000 0.000 0.500

# SmPdI GGA-PBE optimized geometry
# - spin magnetization (μB/atom) = 0.000
# - DOS at the Fermi energy (states/eV per cell) = 0.51
# - raw formation energy (eV per formula unit) = -2.22
data_SmPdI
_space_group_name_H-M_alt 'P 1'
_space_group_IT_number 1
_cell_length_a 7.746
_cell_length_b 7.802
_cell_length_c 7.746
_cell_angle_alpha 73.70
_cell_angle_beta 64.24
_cell_angle_gamma 106.30
loop_
_space_group_symop_operation_xyz
'x,y,z'
loop_
_atom_site_label
_atom_site_type_symbol
_atom_site_fract_x
_atom_site_fract_y
_atom_site_fract_z
Sm1 Sm 0.677 0.429 0.204
Sm2 Sm 0.367 0.571 0.752
I1 I 0.914 0.267 0.408
Pd1 Pd 0.592 0.714 0.939
Pd2 Pd 0.347 0.286 0.122
I2 I 0.325 0.733 0.353
I3 I 0.842 0.767 0.336
Pd3 Pd 0.128 0.786 0.903
Sm3 Sm 0.046 0.929 0.573
Pd4 Pd 0.311 0.214 0.658
Sm4 Sm 0.498 0.071 0.883
I4 I 0.897 0.233 0.925

> Number 3 is which compound?

ZrSi2PdI

> Which formula does entry 3 have?

ZrSi2PdI

> raw formation energy of number 4 (SmPdI)?

-2.22 eV per formula unit